Entry from the Alexandria database: a relaxed BMoNO2 crystal (PBE+U).

Unit cell a=3.8842 b=3.8842 c=3.9960 alpha=90.00 beta=90.00 gamma=90.00
Fractional coordinates of all 5 atoms:
B 0.0000 0.0000 0.0000
Mo 0.5000 0.5000 0.5000
N 0.5000 0.5000 0.0000
O 0.0000 0.5000 0.5000
O 0.5000 0.0000 0.5000

Results
Crystal system = tetragonal
VASP energy = -5.9747 eV per atom
M_tot = 0.0000 μB per atom